Entry 1:
Tm2Ga3Ni5: relaxed, PBE.

Results
DFT formation energy in meV/atom: -490
Calculated total energy in eV/cell: -103.651
Total moment in μB/atom: 0.00
Energy above the lowest structure with this stoichiometry in eV per atom: 0.0223
Volume in Å³ per atom: 15.597

Cell lengths 5.483, 8.064, 8.064 Å; angles 75.82, 70.12, 70.12 degrees
Fractional coordinates of all 20 atoms:
Ga  0.642  0.461  0.254
Ga  0.358  0.539  0.746
Ga  0.142  0.254  0.461
Ga  0.250  0.000  0.000
Ga  0.858  0.746  0.539
Ga  0.750  0.000  0.000
Tm  0.631  0.136  0.602
Tm  0.131  0.602  0.136
Tm  0.369  0.864  0.398
Tm  0.869  0.398  0.864
Ni  0.250  0.500  0.500
Ni  0.892  0.945  0.272
Ni  0.608  0.728  0.055
Ni  0.536  0.214  0.214
Ni  0.750  0.500  0.500
Ni  0.108  0.055  0.728
Ni  0.964  0.786  0.786
Ni  0.464  0.786  0.786
Ni  0.392  0.272  0.945
Ni  0.036  0.214  0.214

=====

Entry 2:
CaPaIrPt: relaxed, PBE.

Results
DFT formation energy in meV/atom: -817
Calculated total energy in eV/cell: -29.669
Total moment in μB/atom: 0.00
Energy above the lowest structure with this stoichiometry in eV per atom: 0.0000
Volume in Å³ per atom: 21.902

Cell lengths 3.772, 4.195, 5.850 Å; angles 90.00, 108.81, 90.00 degrees
Fractional coordinates of all 4 atoms:
Ca  0.857  0.500  0.715
Pa  0.133  0.000  0.266
Ir  0.595  0.500  0.189
Pt  0.415  0.000  0.830

=====

Entry 3:
MgTeO2F: relaxed, PBE.

Results
Calculated total energy in eV/cell: -23.370
Total moment in μB/atom: 0.00
Volume in Å³ per atom: 12.199

Cell lengths 4.065, 4.065, 3.692 Å; angles 90.00, 90.00, 90.00 degrees
Fractional coordinates of all 5 atoms:
O  0.500  0.000  0.000
O  0.000  0.500  0.000
Mg  0.000  0.000  0.000
Te  0.500  0.500  0.500
F  0.000  0.000  0.500